No. 1
A relaxed KErLu crystal, computed with PBE.

Lattice parameters (Å, degrees): 5.8028 5.8028 5.8028 60.00 60.00 60.00
Last column: nearest neighbours and their distance in Å.
Sites, in units of the cell vectors:
Er 0.2500 0.2500 0.2500  4 Lu 3.55
K 0.7500 0.7500 0.7500  4 Lu 3.55
Lu 0.0000 0.0000 0.0000  4 Er 3.55, 4 K 3.55

Output
Calculated density = 4.6 g/cm³
Total DFT energy (no corrections) = -6.643 eV per cell
Volume = 138.2 Å³/cell

No. 2
A relaxed KErMgSe3 crystal, computed with PBE.

Lattice parameters (Å, degrees): 9.0083 4.2256 10.0773 90.00 107.87 90.00
Last column: nearest neighbours and their distance in Å.
Sites, in units of the cell vectors:
Er 0.3308 0.7500 0.3670  6 Se 2.79-3.10
Er 0.6692 0.2500 0.6330  6 Se 2.79-3.10
K 0.7885 0.7500 0.2724  5 Se 3.35-3.49
K 0.2115 0.2500 0.7276  5 Se 3.35-3.49
Mg 0.0854 0.2500 0.1105  4 Se 2.52-2.64
Mg 0.9146 0.7500 0.8895  4 Se 2.52-2.64
Se 0.2098 0.7500 0.0441  3 Mg 2.57-2.64
Se 0.5349 0.2500 0.3439  3 Er 2.79-2.86
Se 0.1126 0.2500 0.3667  1 Mg 2.52
Se 0.8874 0.7500 0.6333  1 Mg 2.52
Se 0.4651 0.7500 0.6561  3 Er 2.79-2.86
Se 0.7902 0.2500 0.9559  3 Mg 2.57-2.64

Output
Calculated density = 4.3 g/cm³
Total DFT energy (no corrections) = -53.911 eV per cell
Volume = 365.1 Å³/cell

No. 3
A relaxed KErMo crystal, computed with PBE.

Lattice parameters (Å, degrees): 5.2670 5.2670 5.2670 60.00 60.00 60.00
Last column: nearest neighbours and their distance in Å.
Sites, in units of the cell vectors:
Er 0.2500 0.2500 0.2500  4 Mo 3.23
K 0.7500 0.7500 0.7500  4 Mo 3.23
Mo 0.0000 0.0000 0.0000  4 K 3.23, 4 Er 3.23

Output
Calculated density = 4.9 g/cm³
Total DFT energy (no corrections) = -11.476 eV per cell
Volume = 103.3 Å³/cell

Which of these has the lowest total DFT energy (no corrections)?
KErMgSe3